Here is a relaxed structure of CeThCuAu from Alexandria via LeMat-Bulk. Energies are from PBE.

Cell and atoms, written as POSCAR:
```
CeThCuAu
1.0
3.793 0.000 0.000
0.000 4.453 0.000
-1.896 0.000 5.794
Au Cu Th Ce
1 1 1 1
Cartesian
1.896 2.227 0.784 Au
0.000 0.000 4.945 Cu
0.000 0.000 1.770 Th
1.896 2.227 4.088 Ce
```

Computed properties:
As for the magnetic moment: 0.84 μB per cell. For the formation energy from the elements, the calculation gives -0.331 eV/atom. The calculation puts the energy above the lowest structure with this stoichiometry at 0.000 eV per atom. The calculation puts the mass density at 10.74 Mg/m³.